Sm4Ga3Fe31 PBE relaxed; total magnetization = 68.7 μB/f.u.; symmetry = P1 (1); energy of formation = -59 meV per atom
1.0
6.414 0.000 0.000
0.777 6.436 0.000
1.629 1.306 12.729
Sm Ga Fe
4 3 31
Direct
0.000 0.000 0.000
0.002 0.002 0.503
0.319 0.319 0.662
0.323 0.322 0.161
0.004 0.002 0.253
0.504 0.002 0.003
0.507 0.002 0.502
0.001 0.502 0.002
0.001 0.502 0.501
0.002 0.001 0.753
0.157 0.655 0.330
0.157 0.658 0.830
0.314 0.319 0.905
0.315 0.807 0.660
0.316 0.319 0.407
0.319 0.797 0.160
0.364 0.656 0.976
0.367 0.656 0.475
0.367 0.946 0.829
0.370 0.943 0.329
0.564 0.560 0.282
0.564 0.560 0.781
0.654 0.161 0.327
0.656 0.942 0.186
0.658 0.157 0.829
0.659 0.369 0.474
0.659 0.370 0.973
0.659 0.654 0.580
0.660 0.655 0.079
0.660 0.944 0.686
0.755 0.750 0.378
0.756 0.752 0.877
0.814 0.319 0.158
0.819 0.316 0.659
0.948 0.368 0.331
0.950 0.367 0.830
0.952 0.655 0.183
0.952 0.659 0.684